## NaTl2Cd2In2 (PBE)

Data for a relaxed NaTl2Cd2In2 crystal.

Cell lengths 4.715, 4.715, 13.230 Å; angles 90.00, 90.00, 120.00 degrees
Fractional coordinates of all 7 atoms:
Na 0.000 0.000 0.000
Tl 0.000 0.000 0.233
Tl 0.000 0.000 0.767
Cd 0.333 0.667 0.430
Cd 0.667 0.333 0.570
In 0.333 0.667 0.657
In 0.667 0.333 0.343

raw total energy: -1.772 eV per atom
E_form: 0.136 eV/atom
DOS(E_F): 3.5 states/eV/cell